A plane-wave DFT calculation with PBE-GGA was carried out for a geometry-optimized Ac5Sn2 structure.

Geometry as CIF:
```
data_Ac5Sn2
_symmetry_space_group_name_H-M 'C 1 2/c 1'
_symmetry_Int_Tables_number 15
_cell_length_a 18.0034
_cell_length_b 7.1624
_cell_length_c 8.9761
_cell_angle_alpha 90.00
_cell_angle_beta 97.65
_cell_angle_gamma 90.00
loop_
_symmetry_equiv_pos_as_xyz
'x,y,z'
'-x,-y,-z'
'-x,y,-z+1/2'
'x,-y,z+1/2'
'x+1/2,y+1/2,z'
'-x+1/2,-y+1/2,-z'
'-x+1/2,y+1/2,-z+1/2'
'x+1/2,-y+1/2,z+1/2'
loop_
_atom_site_label
_atom_site_fract_x
_atom_site_fract_y
_atom_site_fract_z
Ac1 0.0000 0.1239 0.2500
Ac2 0.0966 0.3785 0.9309
Ac3 0.2213 0.1217 0.3055
Sn1 0.1044 0.1798 0.5847
```

Values from the calculation:
The value obtained for the formation energy from the elements is -9.52 kcal/mol of atoms. Its density of states at the Fermi level is 1.142 states/eV/atom. The mass density is 7.95 g cm⁻³.